Record 1
PBE Li3Pu3ZnS8, optimized geometry; final energy = -0.24955 hartree per atom
1.0
-4.292 -2.453 5.992
7.613 1.081 0.882
-4.664 5.909 -1.002
Pu S Zn Li
3 8 1 3
Cartesian
-0.672 2.268 2.936 Pu
-4.478 1.728 2.495 Pu
1.474 3.495 -0.060 Pu
-2.252 0.895 1.282 S
-0.479 0.264 4.779 S
-0.865 4.272 1.092 S
-2.913 3.166 4.196 S
-4.454 3.771 0.696 S
0.908 3.641 4.589 S
3.111 0.765 5.176 S
1.570 1.370 1.676 S
-2.332 2.954 -0.501 Zn
1.660 -0.686 3.437 Li
0.000 0.000 0.000 Li
3.806 0.540 0.441 Li

=====

Record 2
PBE KHgTeSe3, optimized geometry; final energy = -0.10489 hartree per atom
1.0
-3.188 -2.028 -1.645
3.857 -8.232 2.674
-5.394 1.446 8.670
Te Se Hg K
2 6 2 2
Cartesian
0.813 -5.457 2.570 Te
-5.539 -3.357 7.130 Te
-1.548 -4.888 1.282 Se
-3.178 -3.927 8.418 Se
-4.143 -2.439 3.291 Se
0.126 -8.239 2.169 Se
-4.851 -0.575 7.530 Se
-0.583 -6.375 6.408 Se
-3.634 -0.521 5.104 Hg
-1.092 -8.293 4.595 Hg
-3.379 -7.402 7.929 K
-1.347 -1.412 1.770 K

=====

Record 3
PBE ErNp2ScSb4, optimized geometry; final energy = -0.26650 hartree per atom
1.0
-3.551 -1.723 1.767
0.172 -5.528 -5.043
3.989 -2.016 6.050
Sc Np Sb Er
1 2 4 1
Cartesian
0.000 0.000 0.000 Sc
0.219 -1.870 3.908 Np
2.080 -3.772 0.503 Np
-0.783 -2.671 1.115 Sb
3.064 -2.890 3.339 Sb
1.097 -4.654 -2.333 Sb
1.393 -6.596 1.659 Sb
-1.689 -3.625 -1.638 Er

=====

Record 4
PBE TbDy3Ga4, optimized geometry; E above lowest polymorph = 0 meV/atom; formation energy = -585 meV per atom
1.0
-1.877 -4.469 -1.445
2.999 0.817 -6.423
8.376 -4.594 3.327
Dy Ga Tb
6 8 2
Cartesian
4.188 -2.297 1.664 Dy
0.000 0.000 0.000 Dy
1.158 -3.378 0.111 Dy
6.841 -5.276 -1.440 Dy
2.657 -2.970 -3.101 Dy
5.342 -5.685 1.771 Dy
0.967 -5.407 -2.211 Ga
3.997 -4.328 -0.659 Ga
2.472 -4.997 -5.434 Ga
5.502 -3.918 -3.882 Ga
8.532 -2.839 -2.330 Ga
-0.192 -2.031 -2.322 Ga
7.026 -3.249 0.893 Ga
1.314 -1.621 -5.546 Ga
5.688 -1.888 -1.548 Tb
1.500 0.408 -3.212 Tb

=====

Record 5
PBE LiCrP, optimized geometry; formation energy = -329 meV per atom
1.0
7.417 0.000 0.000
0.000 7.915 0.000
0.000 0.000 4.931
Cr Li P
8 8 8
Cartesian
0.000 1.096 0.000 Cr
0.000 5.054 2.465 Cr
0.000 2.861 2.465 Cr
3.709 5.054 0.000 Cr
0.000 6.819 0.000 Cr
3.709 2.861 0.000 Cr
3.709 6.819 2.465 Cr
3.709 1.096 2.465 Cr
1.168 3.958 0.000 Li
6.249 3.958 0.000 Li
2.540 0.000 0.000 Li
4.877 3.958 2.465 Li
1.168 0.000 2.465 Li
4.877 0.000 0.000 Li
6.249 0.000 2.465 Li
2.540 3.958 2.465 Li
1.854 1.979 1.233 P
5.563 1.979 1.233 P
5.563 5.936 3.698 P
1.854 5.936 3.698 P
5.563 5.936 1.233 P
1.854 1.979 3.698 P
5.563 1.979 3.698 P
1.854 5.936 1.233 P

=====

Record 6
PBE C3Se, optimized geometry; E above lowest polymorph = 1874 meV/atom
1.0
5.648 -0.270 0.000
-4.585 3.308 0.000
-0.531 -1.519 5.420
C Se
3 1
Cartesian
2.824 -0.135 2.710 C
0.531 1.519 0.000 C
-2.293 1.654 2.710 C
0.000 0.000 0.000 Se

=====

Record 7
PBE NdIrOs, optimized geometry; E above lowest polymorph = 4 meV/atom; formation energy = -391 meV per atom
1.0
-1.051 -5.243 0.408
4.367 1.594 -2.673
4.834 -0.373 7.676
Os Ir Nd
4 4 4
Cartesian
3.400 0.373 -2.123 Os
2.276 -4.281 3.728 Os
2.948 -2.158 -1.962 Os
1.288 -0.330 -0.827 Os
4.415 -3.508 2.419 Ir
2.784 -1.714 3.533 Ir
0.185 -5.308 2.323 Ir
2.591 -5.494 6.144 Ir
4.714 -3.249 5.635 Nd
1.660 -3.013 0.786 Nd
4.111 -0.795 0.799 Nd
5.860 -0.930 3.577 Nd

=====

no.,size of the total moment (μB/cell)
1,4.2
2,0.0
3,7.9
4,0.0
5,0.0
6,1.0
7,0.0